1.
The following is a PBE calculation of a geometry-optimized NaGa2Co2 structure, from the Alexandria database.

Calculated values
As for the total DFT energy (no corrections): -4.26 eV per atom. The calculation puts the formation energy at 0.057 eV/atom. The size of the total moment is 0.636 μB/cell. As for the density of states at the Fermi level: 4.5 states/eV per cell. Its energy above the lowest structure with this stoichiometry is 126 meV per atom.

Unit cell a=6.0570 b=6.0570 c=6.0570 alpha=142.82 beta=142.82 gamma=53.60
With the nearest neighbours (Å) after each atom.
Positions (direct):
Na  0.0000  0.0000  0.0000  8 Ga 3.04, 8 Co 3.32
Ga  0.3773  0.3773  0.0000  4 Co 2.37, 1 Ga 2.65
Ga  0.6227  0.6227  0.0000  4 Co 2.37, 1 Ga 2.65
Co  0.2500  0.7500  0.5000  4 Ga 2.37
Co  0.7500  0.2500  0.5000  4 Ga 2.37

2.
The following is a PBE calculation of a geometry-optimized Y2ErUO8 structure, from the Alexandria database.

Calculated values
As for the total DFT energy (no corrections): -8.97 eV per atom. The size of the total moment is 0.000 μB/cell. As for the density of states at the Fermi level: 7.8 states/eV per cell. The energy relative to the elements, uncorrected comes out at -3.27 eV/atom.

Unit cell a=3.8544 b=5.3290 c=7.5221 alpha=90.00 beta=90.00 gamma=90.00
With the nearest neighbours (Å) after each atom.
Positions (direct):
Y  0.0000  0.0000  0.2487  8 O 2.31-2.38
Y  0.0000  0.0000  0.7513  8 O 2.31-2.38
Er  0.5000  0.5000  0.0000  8 O 2.33-2.40
U  0.5000  0.5000  0.5000  8 O 2.15-2.29
O  0.0000  0.2528  0.0000  2 Y 2.31, 2 Er 2.33
O  0.0000  0.2681  0.5000  2 U 2.29, 2 Y 2.37, 1 O 2.47
O  0.0000  0.7319  0.5000  2 U 2.29, 2 Y 2.37, 1 O 2.47
O  0.0000  0.7472  0.0000  2 Y 2.31, 2 Er 2.33
O  0.5000  0.2603  0.2699  1 U 2.15, 2 Y 2.38, 1 Er 2.40
O  0.5000  0.2603  0.7301  1 U 2.15, 2 Y 2.38, 1 Er 2.40
O  0.5000  0.7397  0.2699  1 U 2.15, 2 Y 2.38, 1 Er 2.40
O  0.5000  0.7397  0.7301  1 U 2.15, 2 Y 2.38, 1 Er 2.40

3.
The following is a PBE calculation of a geometry-optimized NdAg2I6 structure, from the Alexandria database.

Calculated values
As for the total DFT energy (no corrections): -2.84 eV per atom. The size of the total moment is 0.000 μB/cell. As for the density of states at the Fermi level: 8.8 states/eV per cell. The energy relative to the elements, uncorrected comes out at -0.64 eV/atom.

Unit cell a=9.1709 b=9.1709 c=9.1709 alpha=48.86 beta=48.86 gamma=48.86
With the nearest neighbours (Å) after each atom.
Positions (direct):
Nd  0.0000  0.0000  0.0000  6 I 3.14
Ag  0.2664  0.2664  0.2664  3 I 2.75
Ag  0.3995  0.3995  0.3995  3 I 2.75
I  0.0526  0.4181  0.7709  1 Ag 2.75
I  0.2579  0.8910  0.6099  1 Ag 2.75
I  0.4181  0.7709  0.0526  1 Ag 2.75
I  0.6099  0.2579  0.8910  1 Ag 2.75
I  0.7709  0.0526  0.4181  1 Ag 2.75
I  0.8910  0.6099  0.2579  1 Ag 2.75